Entry 1:
! meta-GGA SCAN Sc2SbRu, PBEsol geometry; values from VASP
&SYSTEM
  ibrav = 0, nat = 4, ntyp = 3
/
ATOMIC_SPECIES
Sc 44.96 Sc.upf
Sb 121.76 Sb.upf
Ru 101.07 Ru.upf
CELL_PARAMETERS angstrom
3.270 0.000 0.000
0.000 4.240 0.000
0.000 0.000 5.828
ATOMIC_POSITIONS crystal
Sc 0.000 0.000 0.000
Sc 0.500 0.500 0.305
Sb 0.500 0.500 0.788
Ru 0.000 0.000 0.420
! Formation energy (no corrections) ... -422.4 meV per atom
! E_tot ... -25.563 eV per atom
! N(E_F) ... 1.7 states/eV per cell



Entry 2:
! meta-GGA SCAN LaYIn2, PBEsol geometry; values from VASP
&SYSTEM
  ibrav = 0, nat = 4, ntyp = 3
/
ATOMIC_SPECIES
La 138.91 La.upf
Y 88.91 Y.upf
In 114.82 In.upf
CELL_PARAMETERS angstrom
3.459 0.000 0.000
0.000 4.353 0.000
0.000 0.000 7.193
ATOMIC_POSITIONS crystal
La 0.000 0.000 0.000
Y 0.000 0.000 0.500
In 0.500 0.500 0.274
In 0.500 0.500 0.726
! Energy relative to the elements ... -0.69 eV/atom
! E_tot ... -35.118 eV per atom
! N(E_F) ... 2.0 states/eV per cell



Among the records above, which one has the highest E_tot?
Sc2SbRu



Look up the E_tot of the second one.
-35.118 eV per atom